Density functional theory data (GGA-PBE) for SrPr2H8 after structural relaxation.

a b c (Å): 6.7939 6.7939 6.7939
angles (deg): 146.37 132.12 59.79
Fractional positions:
Sr  0.0000  0.0000  0.0000
Pr  0.3218  0.3218  0.0000
Pr  0.6782  0.6782  0.0000
H  0.1168  0.8417  0.2751
H  0.1786  0.6786  0.5000
H  0.2873  0.5000  0.7873
H  0.4334  0.1583  0.2751
H  0.5666  0.8417  0.7249
H  0.7127  0.5000  0.2127
H  0.8214  0.3214  0.5000
H  0.8832  0.1583  0.7249

Output
For the magnetization, the calculation gives 0.00 μB per formula unit. As for the calculated total energy: -4.01 eV/atom. As for the crystal system: orthorhombic. Its space group is Immm.

Density functional theory data (GGA-PBE) for Dy2PuScSb4 after structural relaxation.

a b c (Å): 7.5045 4.3523 7.5200
angles (deg): 90.00 109.44 90.00
Fractional positions:
Dy  0.0000  0.0000  0.0000
Dy  0.5000  0.5000  0.0000
Pu  0.0000  0.5000  0.5000
Sc  0.5000  0.0000  0.5000
Sb  0.2558  0.0000  0.7458
Sb  0.2600  0.5000  0.2594
Sb  0.7400  0.5000  0.7406
Sb  0.7442  0.0000  0.2542

Output
For the magnetization, the calculation gives 5.04 μB per formula unit. As for the calculated total energy: -6.72 eV/atom. As for the crystal system: monoclinic. Its space group is P2/m.

Density functional theory data (GGA-PBE) for Cs2TiCuRh after structural relaxation.

a b c (Å): 6.1540 6.1540 4.9009
angles (deg): 90.00 90.00 90.00
Fractional positions:
Cs  0.0000  0.5000  0.0000
Cs  0.5000  0.0000  0.0000
Ti  0.0000  0.0000  0.5000
Cu  0.5000  0.5000  0.5000
Rh  0.5000  0.5000  0.0000

Output
For the magnetization, the calculation gives 3.08 μB per formula unit. As for the crystal system: tetragonal. The formation enthalpy at 0 K is 1.292 eV per atom. Its space group is P4/mmm.

Density functional theory data (GGA-PBE) for AcSm6Er6 after structural relaxation.

a b c (Å): 6.7350 6.7350 11.4558
angles (deg): 90.00 90.00 120.00
Fractional positions:
Ac  0.0000  0.0000  0.0000
Sm  0.0000  0.0000  0.3515
Sm  0.0000  0.0000  0.6485
Sm  0.3333  0.6667  0.0000
Sm  0.3333  0.6667  0.5000
Sm  0.6667  0.3333  0.0000
Sm  0.6667  0.3333  0.5000
Er  0.0000  0.5000  0.2478
Er  0.0000  0.5000  0.7522
Er  0.5000  0.0000  0.2478
Er  0.5000  0.0000  0.7522
Er  0.5000  0.5000  0.2478
Er  0.5000  0.5000  0.7522

Output
For the magnetization, the calculation gives 1.93 μB per formula unit. As for the crystal system: hexagonal. The formation enthalpy at 0 K is 0.243 eV per atom. Its space group is P6/mmm.

Density functional theory data (GGA-PBE) for MgZrRh5 after structural relaxation.

a b c (Å): 3.9489 3.9489 7.6038
angles (deg): 90.00 90.00 90.00
Fractional positions:
Mg  0.0000  0.0000  0.0000
Zr  0.5000  0.5000  0.5000
Rh  0.0000  0.0000  0.5000
Rh  0.0000  0.5000  0.2461
Rh  0.0000  0.5000  0.7539
Rh  0.5000  0.0000  0.2461
Rh  0.5000  0.0000  0.7539

Output
For the magnetization, the calculation gives 0.00 μB per formula unit. As for the crystal system: tetragonal. The formation enthalpy at 0 K is -0.223 eV per atom. Its space group is P4/mmm.

Density functional theory data (GGA-PBE) for CdPt2W after structural relaxation.

a b c (Å): 4.9791 4.9791 4.9881
angles (deg): 98.06 98.06 32.84
Fractional positions:
Cd  0.0000  0.0000  0.0000
Pt  0.4997  0.4997  0.5072
Pt  0.7515  0.7515  0.1979
W  0.2403  0.2403  0.6791

Output
For the magnetization, the calculation gives 0.00 μB per formula unit. As for the crystal system: monoclinic. The formation enthalpy at 0 K is -0.077 eV per atom. Its space group is Cm.

Density functional theory data (GGA-PBE) for PrGdTm4 after structural relaxation.

a b c (Å): 6.5736 6.5736 6.5736
angles (deg): 60.00 60.00 60.00
Fractional positions:
Pr  0.0000  0.0000  0.0000
Gd  0.7500  0.7500  0.7500
Tm  0.3751  0.3751  0.3751
Tm  0.3751  0.3751  0.8746
Tm  0.3751  0.8746  0.3751
Tm  0.8746  0.3751  0.3751

Output
For the magnetization, the calculation gives 8.94 μB per formula unit. As for the crystal system: cubic. The formation enthalpy at 0 K is 0.256 eV per atom. Its space group is F-43m.

Density functional theory data (GGA-PBE) for Tc2AgTe after structural relaxation.

a b c (Å): 4.5810 4.5810 5.3009
angles (deg): 100.56 100.56 39.44
Fractional positions:
Tc  0.2458  0.2458  0.2366
Tc  0.7542  0.7542  0.7634
Ag  0.0000  0.0000  0.5000
Te  0.5000  0.5000  0.0000

Output
For the magnetization, the calculation gives 0.23 μB per formula unit. As for the calculated total energy: -6.07 eV/atom. As for the crystal system: monoclinic. Its space group is C2/m.

Density functional theory data (GGA-PBE) for TiTcS2N after structural relaxation.

a b c (Å): 4.7599 4.7599 3.6826
angles (deg): 90.00 90.00 90.00
Fractional positions:
Ti  0.0000  0.0000  0.0000
Tc  0.5000  0.5000  0.5000
S  0.0000  0.5000  0.5000
S  0.5000  0.0000  0.5000
N  0.5000  0.5000  0.0000

Output
For the magnetization, the calculation gives 0.00 μB per formula unit. As for the calculated total energy: -6.79 eV/atom. As for the crystal system: tetragonal. Its space group is P4/mmm.

Density functional theory data (GGA-PBE) for InGeIBr2 after structural relaxation.

a b c (Å): 5.4848 5.4848 5.9411
angles (deg): 90.00 90.00 90.00
Fractional positions:
In  0.0000  0.0000  0.0000
Ge  0.5000  0.5000  0.5000
I  0.5000  0.5000  0.0000
Br  0.0000  0.5000  0.5000
Br  0.5000  0.0000  0.5000

Output
For the magnetization, the calculation gives 0.00 μB per formula unit. As for the calculated total energy: -2.91 eV/atom. As for the crystal system: tetragonal. Its space group is P4/mmm.

Density functional theory data (GGA-PBE) for RbCrReC2 after structural relaxation.

a b c (Å): 4.0619 4.0619 4.7217
angles (deg): 90.00 90.00 90.00
Fractional positions:
Rb  0.0000  0.0000  0.0000
Cr  0.5000  0.5000  0.5000
Re  0.5000  0.5000  0.0000
C  0.0000  0.5000  0.5000
C  0.5000  0.0000  0.5000

Output
For the magnetization, the calculation gives 1.64 μB per formula unit. As for the crystal system: tetragonal. The formation enthalpy at 0 K is 2.228 eV per atom. Its space group is P4/mmm.

Density functional theory data (GGA-PBE) for In2Si2Bi after structural relaxation.

a b c (Å): 8.3956 8.3956 3.3252
angles (deg): 90.00 90.00 90.00
Fractional positions:
In  0.1403  0.3597  0.0000
In  0.3597  0.8597  0.0000
In  0.6403  0.1403  0.0000
In  0.8597  0.6403  0.0000
Si  0.1591  0.6591  0.5000
Si  0.3409  0.1591  0.5000
Si  0.6591  0.8409  0.5000
Si  0.8409  0.3409  0.5000
Bi  0.0000  0.0000  0.5000
Bi  0.5000  0.5000  0.5000

Output
For the magnetization, the calculation gives 0.00 μB per formula unit. As for the calculated total energy: -3.66 eV/atom. As for the crystal system: tetragonal. Its space group is P4/mbm.

Density functional theory data (GGA-PBE) for Pt2AuSe after structural relaxation.

a b c (Å): 8.6584 8.6584 8.6584
angles (deg): 20.72 20.72 20.72
Fractional positions:
Pt  0.0000  0.0000  0.0000
Pt  0.2510  0.2510  0.2510
Au  0.4974  0.4974  0.4974
Se  0.7364  0.7364  0.7364

Output
For the magnetization, the calculation gives 0.00 μB per formula unit. As for the calculated total energy: -4.56 eV/atom. As for the crystal system: trigonal. Its space group is R3m.

Density functional theory data (GGA-PBE) for Ba2MoIr after structural relaxation.

a b c (Å): 3.6147 3.6147 9.8509
angles (deg): 90.00 90.00 90.00
Fractional positions:
Ba  0.0000  0.0000  0.0000
Ba  0.5000  0.5000  0.4117
Mo  0.5000  0.5000  0.7221
Ir  0.0000  0.0000  0.6806

Output
For the magnetization, the calculation gives 0.00 μB per formula unit. As for the crystal system: tetragonal. The formation enthalpy at 0 K is 0.386 eV per atom. Its space group is P4mm.

Density functional theory data (GGA-PBE) for ErAlZn2 after structural relaxation.

a b c (Å): 5.2865 5.2865 3.3272
angles (deg): 90.00 90.00 119.93
Fractional positions:
Er  0.0000  0.0000  0.0000
Al  0.5000  0.5000  0.5000
Zn  0.0000  0.5000  0.5000
Zn  0.5000  0.0000  0.5000

Output
For the magnetization, the calculation gives 0.00 μB per formula unit. As for the crystal system: orthorhombic. The formation enthalpy at 0 K is -0.192 eV per atom. Its space group is Cmmm.

Density functional theory data (GGA-PBE) for Si3Os2 after structural relaxation.

a b c (Å): 11.2280 9.0108 5.6201
angles (deg): 90.00 90.00 90.00
Fractional positions:
Si  0.0737  0.2057  0.0560
Si  0.0737  0.7943  0.5560
Si  0.1303  0.3929  0.6045
Si  0.1303  0.6071  0.1045
Si  0.1814  0.0636  0.4096
Si  0.1814  0.9364  0.9096
Si  0.3186  0.4364  0.9096
Si  0.3186  0.5636  0.4096
Si  0.3697  0.1071  0.1045
Si  0.3697  0.8929  0.6045
Si  0.4263  0.2943  0.5560
Si  0.4263  0.7057  0.0560
Si  0.5737  0.2943  0.9440
Si  0.5737  0.7057  0.4440
Si  0.6303  0.1071  0.3955
Si  0.6303  0.8929  0.8955
Si  0.6814  0.4364  0.5904
Si  0.6814  0.5636  0.0904
Si  0.8186  0.0636  0.0904
Si  0.8186  0.9364  0.5904
Si  0.8697  0.3929  0.8955
Si  0.8697  0.6071  0.3955
Si  0.9263  0.2057  0.4440
Si  0.9263  0.7943  0.9440
Os  0.0000  0.0380  0.7500
Os  0.0000  0.4240  0.2500
Os  0.0000  0.5760  0.7500
Os  0.0000  0.9620  0.2500
Os  0.2452  0.1867  0.7626
Os  0.2452  0.8133  0.2626
Os  0.2548  0.3133  0.2626
Os  0.2548  0.6867  0.7626
Os  0.5000  0.0760  0.7500
Os  0.5000  0.4620  0.2500
Os  0.5000  0.5380  0.7500
Os  0.5000  0.9240  0.2500
Os  0.7452  0.3133  0.2374
Os  0.7452  0.6867  0.7374
Os  0.7548  0.1867  0.7374
Os  0.7548  0.8133  0.2374

Output
For the magnetization, the calculation gives 0.00 μB per formula unit. As for the calculated total energy: -8.20 eV/atom. As for the crystal system: orthorhombic. Its space group is Pbcn.